[1]
Entry from Alexandria via LeMat-Bulk: a relaxed Dy3LuC crystal (PBE).

Cell: 5.0365 5.0365 5.0365 Å, 90.00 90.00 90.00°
Fractional coordinates of all 5 atoms:
C 0.0000 0.0000 0.0000
Lu 0.5000 0.5000 0.5000
Dy 0.0000 0.5000 0.0000
Dy 0.0000 0.0000 0.5000
Dy 0.5000 0.0000 0.0000

Summary:
* DOS(E_F): 6.25 states/eV/f.u.
* V: 25.55 Å³/atom



[2]
Entry from Alexandria via LeMat-Bulk: a relaxed Dy4Mg2C crystal (PBE).

Cell: 4.9694 4.9694 8.5523 Å, 73.11 73.11 90.00°
Fractional coordinates of all 7 atoms:
Mg 0.6357 0.6357 0.7286
Mg 0.3643 0.3643 0.2714
C 0.0000 0.0000 0.0000
Dy 0.8460 0.8460 0.3080
Dy 0.1540 0.1540 0.6920
Dy 0.0000 0.5000 0.0000
Dy 0.5000 0.0000 0.0000

Summary:
* DOS(E_F): 10.46 states/eV/f.u.
* V: 27.51 Å³/atom



| no. | energy of formation from the pure elements (meV/atom) |
| --- | --- |
| 1 | -21 |
| 2 | 17 |